[1]
TaZnTe2I: optimized geometry, PBE-GGA.

CIF file:
```
data_TaZnTe2I
_chemical_formula_sum 'Ta1 Zn1 Te2 I1'
_cell_length_a 5.207
_cell_length_b 5.207
_cell_length_c 5.351
_cell_angle_alpha 90.00
_cell_angle_beta 90.00
_cell_angle_gamma 90.00
_space_group_name_H-M_alt 'P 1'
_space_group_IT_number 1
loop_
_space_group_symop_operation_xyz
'x,y,z'
loop_
_atom_site_label
_atom_site_type_symbol
_atom_site_fract_x
_atom_site_fract_y
_atom_site_fract_z
_atom_site_occupancy
Te1 Te 0.000 0.500 0.000 1
Te2 Te 0.500 0.000 0.000 1
Zn1 Zn 0.000 0.000 0.000 1
I1 I 0.000 0.000 0.500 1
Ta1 Ta 0.500 0.500 0.500 1
```

Results
V (Å³ per cell): 145.07
E (eV per atom): -3.160
Mass density (g/cm3): 7.2
Total magnetization (μB per atom): 0.47
Raw formation energy (meV/atom): 1032
Energy above the lowest structure with this stoichiometry (meV per atom): 801.9

[2]
TaHg3Bi: optimized geometry, PBE-GGA.

CIF file:
```
data_TaHg3Bi
_chemical_formula_sum 'Ta1 Hg3 Bi1'
_cell_length_a 5.365
_cell_length_b 5.365
_cell_length_c 5.365
_cell_angle_alpha 90.00
_cell_angle_beta 90.00
_cell_angle_gamma 90.00
_space_group_name_H-M_alt 'P 1'
_space_group_IT_number 1
loop_
_space_group_symop_operation_xyz
'x,y,z'
loop_
_atom_site_label
_atom_site_type_symbol
_atom_site_fract_x
_atom_site_fract_y
_atom_site_fract_z
_atom_site_occupancy
Hg1 Hg 0.500 0.000 0.000 1
Hg2 Hg 0.000 0.000 0.500 1
Hg3 Hg 0.000 0.500 0.000 1
Bi1 Bi 0.500 0.500 0.500 1
Ta1 Ta 0.000 0.000 0.000 1
```

Results
E_form (eV per atom): 0.84
V (Å³ per cell): 154.40
E (eV per atom): -2.484
Mass density (g/cm3): 10.7
Total magnetization (μB per atom): 0.00
Energy above the lowest structure with this stoichiometry (meV per atom): 0.0

[3]
GdPu2Sn: optimized geometry, PBE-GGA.

CIF file:
```
data_GdPu2Sn
_chemical_formula_sum 'Gd1 Pu2 Sn1'
_cell_length_a 5.077
_cell_length_b 4.608
_cell_length_c 4.608
_cell_angle_alpha 90.00
_cell_angle_beta 90.00
_cell_angle_gamma 90.00
_space_group_name_H-M_alt 'P 1'
_space_group_IT_number 1
loop_
_space_group_symop_operation_xyz
'x,y,z'
loop_
_atom_site_label
_atom_site_type_symbol
_atom_site_fract_x
_atom_site_fract_y
_atom_site_fract_z
_atom_site_occupancy
Pu1 Pu 0.000 0.000 0.500 1
Pu2 Pu 0.000 0.500 0.000 1
Gd1 Gd 0.500 0.500 0.500 1
Sn1 Sn 0.500 0.000 0.000 1
```

Results
E_form (eV per atom): -0.31
V (Å³ per cell): 107.80
E (eV per atom): -12.001
Mass density (g/cm3): 11.8
Total magnetization (μB per atom): 4.93
Energy above the lowest structure with this stoichiometry (meV per atom): 0.0

[4]
Ta2FeOsCl: optimized geometry, PBE-GGA.

CIF file:
```
data_Ta2FeOsCl
_chemical_formula_sum 'Ta2 Fe1 Os1 Cl1'
_cell_length_a 4.502
_cell_length_b 3.949
_cell_length_c 4.502
_cell_angle_alpha 90.00
_cell_angle_beta 90.00
_cell_angle_gamma 90.00
_space_group_name_H-M_alt 'P 1'
_space_group_IT_number 1
loop_
_space_group_symop_operation_xyz
'x,y,z'
loop_
_atom_site_label
_atom_site_type_symbol
_atom_site_fract_x
_atom_site_fract_y
_atom_site_fract_z
_atom_site_occupancy
Cl1 Cl 0.000 0.000 0.000 1
Ta1 Ta 0.500 0.000 0.000 1
Ta2 Ta 0.000 0.000 0.500 1
Fe1 Fe 0.000 0.500 0.000 1
Os1 Os 0.500 0.500 0.500 1
```

Results
V (Å³ per cell): 80.04
E (eV per atom): -8.185
Mass density (g/cm3): 13.3
Total magnetization (μB per atom): 0.13
Raw formation energy (meV/atom): 864